[1]
Density functional theory data (PBE with a Hubbard U) for a relaxed NaPaVO6 crystal.

```
data_NaPaVO6
_chemical_formula_sum 'Na1 Pa1 V1 O6'
_symmetry_space_group_name_H-M 'P 1'
_symmetry_Int_Tables_number 1
_cell_length_a 4.7344
_cell_length_b 5.3384
_cell_length_c 5.3384
_cell_angle_alpha 120.00
_cell_angle_beta 90.00
_cell_angle_gamma 90.00
loop_
_symmetry_equiv_pos_as_xyz
'x,y,z'
loop_
_atom_site_label
_atom_site_fract_x
_atom_site_fract_y
_atom_site_fract_z
Na1 0.5000 0.6667 0.3333
Pa1 0.0000 0.3333 0.6667
V1 0.5000 0.0000 0.0000
O1 0.7314 0.6930 0.7284
O2 0.7314 0.2716 0.9647
O3 0.7314 0.0353 0.3070
O4 0.2686 0.2716 0.3070
O5 0.2686 0.6930 0.9647
O6 0.2686 0.0353 0.7284
```

Computed properties:
SG = No. 149
DFT total energy = -68.2 eV for the cell shown
magnetic moment = 1.0 μB per cell

---

[2]
Density functional theory data (PBE with a Hubbard U) for a relaxed Na2PaV3O8 crystal.

```
data_Na2PaV3O8
_chemical_formula_sum 'Na2 Pa1 V3 O8'
_symmetry_space_group_name_H-M 'P 1'
_symmetry_Int_Tables_number 1
_cell_length_a 6.2987
_cell_length_b 6.2987
_cell_length_c 6.8598
_cell_angle_alpha 62.67
_cell_angle_beta 62.67
_cell_angle_gamma 60.00
loop_
_symmetry_equiv_pos_as_xyz
'x,y,z'
loop_
_atom_site_label
_atom_site_fract_x
_atom_site_fract_y
_atom_site_fract_z
Na1 0.1485 0.1485 0.5546
Na2 0.4879 0.4879 0.5363
Pa1 0.9738 0.9738 0.0786
V1 0.4949 0.9861 0.0242
V2 0.9861 0.4949 0.0242
V3 0.4949 0.4949 0.0242
O1 0.2729 0.2729 0.1813
O2 0.7118 0.7118 0.8646
O3 0.2146 0.2146 0.8494
O4 0.7215 0.2146 0.8494
O5 0.2146 0.7215 0.8494
O6 0.7437 0.2840 0.2286
O7 0.2840 0.7437 0.2286
O8 0.7437 0.7437 0.2286
```

Computed properties:
SG = No. 160
DFT total energy = -106.8 eV for the cell shown
magnetic moment = 6.0 μB per cell

---

[3]
Density functional theory data (PBE with a Hubbard U) for a relaxed NaPaV2O8 crystal.

```
data_NaPaV2O8
_chemical_formula_sum 'Na1 Pa1 V2 O8'
_symmetry_space_group_name_H-M 'P 1'
_symmetry_Int_Tables_number 1
_cell_length_a 5.8627
_cell_length_b 5.8627
_cell_length_c 6.8325
_cell_angle_alpha 90.00
_cell_angle_beta 90.00
_cell_angle_gamma 120.00
loop_
_symmetry_equiv_pos_as_xyz
'x,y,z'
loop_
_atom_site_label
_atom_site_fract_x
_atom_site_fract_y
_atom_site_fract_z
Na1 0.0000 0.0000 0.5000
Pa1 0.0000 0.0000 0.0000
V1 0.6667 0.3333 0.2833
V2 0.3333 0.6667 0.7167
O1 0.8332 0.1668 0.1983
O2 0.8332 0.6663 0.1983
O3 0.3337 0.1668 0.1983
O4 0.6663 0.8332 0.8017
O5 0.3333 0.6667 0.4772
O6 0.6667 0.3333 0.5228
O7 0.1668 0.8332 0.8017
O8 0.1668 0.3337 0.8017
```

Computed properties:
SG = No. 164
DFT total energy = -94.1 eV for the cell shown
magnetic moment = 0.0 μB per cell

---

[4]
Density functional theory data (PBE with a Hubbard U) for a relaxed NaPaWO6 crystal.

```
data_NaPaWO6
_chemical_formula_sum 'Na2 Pa2 W2 O12'
_symmetry_space_group_name_H-M 'P 1'
_symmetry_Int_Tables_number 1
_cell_length_a 5.6344
_cell_length_b 5.6344
_cell_length_c 10.0477
_cell_angle_alpha 90.00
_cell_angle_beta 90.00
_cell_angle_gamma 120.00
loop_
_symmetry_equiv_pos_as_xyz
'x,y,z'
loop_
_atom_site_label
_atom_site_fract_x
_atom_site_fract_y
_atom_site_fract_z
Na1 0.0000 0.0000 0.0000
Na2 0.0000 0.0000 0.5000
Pa1 0.3333 0.6667 0.2500
Pa2 0.6667 0.3333 0.7500
W1 0.6667 0.3333 0.2500
W2 0.3333 0.6667 0.7500
O1 0.6404 0.6108 0.1436
O2 0.9704 0.3596 0.1436
O3 0.3596 0.9704 0.6436
O4 0.0296 0.6404 0.8564
O5 0.3892 0.3596 0.3564
O6 0.9704 0.6108 0.3564
O7 0.6108 0.9704 0.8564
O8 0.6404 0.0296 0.3564
O9 0.0296 0.3892 0.6436
O10 0.3892 0.0296 0.1436
O11 0.6108 0.6404 0.6436
O12 0.3596 0.3892 0.8564
```

Computed properties:
SG = No. 163
DFT total energy = -142.3 eV for the cell shown
magnetic moment = 0.0 μB per cell

---

[5]
Density functional theory data (PBE with a Hubbard U) for a relaxed NaPa2WO8 crystal.

```
data_NaPa2WO8
_chemical_formula_sum 'Na1 Pa2 W1 O8'
_symmetry_space_group_name_H-M 'P 1'
_symmetry_Int_Tables_number 1
_cell_length_a 4.9607
_cell_length_b 4.9597
_cell_length_c 7.0806
_cell_angle_alpha 90.34
_cell_angle_beta 89.66
_cell_angle_gamma 90.20
loop_
_symmetry_equiv_pos_as_xyz
'x,y,z'
loop_
_atom_site_label
_atom_site_fract_x
_atom_site_fract_y
_atom_site_fract_z
Na1 0.0000 0.0000 0.5000
Pa1 0.5038 0.4963 0.7478
Pa2 0.4962 0.5037 0.2522
W1 0.0000 0.0000 0.0000
O1 0.1992 0.8003 0.2095
O2 0.7019 0.7024 0.0000
O3 0.8094 0.1911 0.1999
O4 0.8008 0.1997 0.7905
O5 0.2981 0.2976 0.0000
O6 0.1906 0.8089 0.8001
O7 0.6785 0.6790 0.5000
O8 0.3215 0.3210 0.5000
```

Computed properties:
SG = No. 12
DFT total energy = -102.0 eV for the cell shown
magnetic moment = 1.0 μB per cell